1.
# Mg2CrFe

A geometry-optimized Mg2CrFe structure (GGA-PBE, Alexandria).

Geometry as POSCAR:
```
Mg2CrFe
1.0
2.964 -3.795 0.000
2.964 3.795 0.000
0.000 0.000 2.972
Mg Cr Fe
2 1 1
direct
0.000 0.500 0.000
0.500 0.000 0.000
0.000 0.000 0.500
0.500 0.500 0.500
```

Summary:
Calculated total energy, eV/atom: -4.88
Formation enthalpy at 0 K, meV per atom: 439
Polymorph energy (0 for the lowest one), eV/f.u.: 0.98
Fermi-level density of states, states/eV/cell: 3.11

=====

2.
# Pr3Ag2Pd4

A geometry-optimized Pr3Ag2Pd4 structure (GGA-PBE, Alexandria).

Geometry as POSCAR:
```
Pr3Ag2Pd4
1.0
4.999 -2.329 0.000
4.999 2.329 0.000
-1.130 0.000 8.781
Pr Ag Pd
3 2 4
direct
0.000 0.000 0.000
0.380 0.380 0.622
0.620 0.620 0.378
0.303 0.303 0.234
0.697 0.697 0.766
0.083 0.083 0.634
0.288 0.288 0.918
0.712 0.712 0.082
0.917 0.917 0.366
```

Summary:
Calculated total energy, eV/atom: -5.11
Formation enthalpy at 0 K, meV per atom: -572
Polymorph energy (0 for the lowest one), eV/f.u.: 0.08
Fermi-level density of states, states/eV/cell: 5.77